[1]
MnTlIr2 PBE relaxed; distance to the lowest polymorph of the same formula = 0.1557 eV/atom; formation energy = 0.35 eV/atom; size of the total moment = 1.019 μB per atom
1.0
4.299 0.000 0.000
0.000 2.886 0.333
0.000 0.775 5.414
Ir Mn Tl
2 1 1
Direct
0.000 0.096 0.027
0.000 0.404 0.473
0.500 0.250 0.250
0.500 0.750 0.750

---

[2]
MnTlIr2 PBE relaxed; distance to the lowest polymorph of the same formula = 0.1227 eV/atom; formation energy = 0.32 eV/atom; size of the total moment = 0.864 μB per atom
1.0
-8.635 1.426 -1.564
-8.694 1.232 1.393
-8.032 3.810 0.089
Ir Mn Tl
2 1 1
Direct
0.990 0.990 0.990
0.510 0.510 0.510
0.250 0.250 0.250
0.750 0.750 0.750

---

[3]
MnTlIr2 PBE relaxed; distance to the lowest polymorph of the same formula = 0.3849 eV/atom; formation energy = 0.58 eV/atom; size of the total moment = 0.000 μB per atom
1.0
-5.319 -3.864 -0.006
-1.564 -5.927 -2.376
3.486 4.287 3.561
Ir Mn Tl
2 1 1
Direct
0.973 0.973 0.000
0.691 0.191 0.500
0.531 0.531 0.000
0.306 0.806 0.500

---

[4]
MnTlIr3 PBE relaxed; distance to the lowest polymorph of the same formula = 0.0000 eV/atom; formation energy = 1.21 eV/atom; size of the total moment = 0.000 μB per atom
1.0
4.538 0.000 0.000
0.000 4.538 0.000
0.000 0.000 4.538
Tl Ir Mn
1 3 1
Direct
0.500 0.500 0.500
0.000 0.500 0.000
0.000 0.000 0.500
0.500 0.000 0.000
0.000 0.000 0.000

---

[5]
MnTlIr2 PBE relaxed; distance to the lowest polymorph of the same formula = 0.0000 eV/atom; formation energy = 0.20 eV/atom; size of the total moment = 0.774 μB per atom
1.0
2.950 0.024 0.000
-0.023 2.950 0.000
0.000 0.000 7.421
Ir Mn Tl
2 1 1
Direct
0.000 0.000 0.042
0.000 0.000 0.458
0.500 0.500 0.250
0.500 0.500 0.750

---

[6]
MnTlIr2 PBE relaxed; distance to the lowest polymorph of the same formula = 0.2953 eV/atom; formation energy = 0.49 eV/atom; size of the total moment = 0.780 μB per atom
1.0
4.530 0.000 0.000
2.265 3.923 0.000
2.265 1.308 3.699
Ir Mn Tl
2 1 1
Direct
0.000 0.000 0.000
0.250 0.250 0.250
0.500 0.500 0.500
0.750 0.750 0.750

---

[7]
MnTlIr2 PBE relaxed; distance to the lowest polymorph of the same formula = 0.0796 eV/atom; formation energy = 0.28 eV/atom; size of the total moment = 1.012 μB per atom
1.0
3.665 0.000 0.000
0.000 4.205 0.000
0.000 0.000 4.205
Ir Mn Tl
2 1 1
Direct
0.000 0.000 0.000
0.000 0.500 0.500
0.500 0.500 0.000
0.500 0.000 0.500

---

[8]
MnTlIr4 PBE relaxed; formation energy = 0.42 eV/atom; size of the total moment = 0.746 μB per atom
1.0
-5.246 -0.157 0.260
-2.567 3.228 3.256
-2.846 3.968 -1.939
Mn Tl Ir
1 1 4
Direct
0.750 0.750 0.750
0.000 0.000 0.000
0.874 0.375 0.375
0.375 0.375 0.874
0.375 0.874 0.375
0.375 0.375 0.375